[1]
Material: ZrTc2AsS
Method: DFT, GGA-PBE
State: optimized geometry

a = 4.352 Å, b = 4.839 Å, c = 4.352 Å
α = 90.00°, β = 90.00°, γ = 90.00°
Fractional coordinates of all 5 atoms:
1 Zr 0.000 0.500 0.000
2 Tc 0.500 0.000 0.000
3 Tc 0.000 0.000 0.500
4 As 0.500 0.500 0.500
5 S 0.000 0.000 0.000

SG: P4/mmm
uncorrected formation energy: 0.137 eV per atom



[2]
Material: Er2Pa2Ru5
Method: DFT, GGA-PBE
State: optimized geometry

a = 5.353 Å, b = 6.754 Å, c = 7.466 Å
α = 125.75°, β = 90.00°, γ = 113.35°
Fractional coordinates of all 9 atoms:
1 Pa 0.853 0.706 0.127
2 Pa 0.147 0.294 0.873
3 Ru 0.111 0.223 0.474
4 Ru 0.000 0.000 0.000
5 Ru 0.889 0.777 0.526
6 Ru 0.360 0.721 0.939
7 Ru 0.640 0.279 0.061
8 Er 0.643 0.285 0.469
9 Er 0.357 0.715 0.531

formation energy from the elements: -0.17 eV/atom
SG: C2/m



[3]
Material: Y2AgRh
Method: DFT, GGA-PBE
State: optimized geometry

a = 5.857 Å, b = 5.857 Å, c = 5.857 Å
α = 138.14°, β = 138.14°, γ = 60.69°
Fractional coordinates of all 4 atoms:
1 Rh 0.750 0.250 0.500
2 Ag 0.500 0.500 0.000
3 Y 0.250 0.750 0.500
4 Y 0.000 0.000 0.000

formation energy from the elements: -0.34 eV/atom
SG: I-4m2



[4]
Material: HoFe3
Method: DFT, GGA-PBE
State: optimized geometry

a = 5.070 Å, b = 5.070 Å, c = 8.568 Å
α = 72.83°, β = 72.83°, γ = 60.03°
Fractional coordinates of all 12 atoms:
1 Fe 0.667 0.667 0.999
2 Fe 0.581 0.082 0.755
3 Fe 0.419 0.918 0.245
4 Fe 0.418 0.418 0.245
5 Fe 0.582 0.582 0.755
6 Fe 0.082 0.582 0.755
7 Fe 0.918 0.418 0.245
8 Fe 0.333 0.333 0.001
9 Fe 0.500 0.500 0.500
10 Ho 0.858 0.858 0.426
11 Ho 0.000 0.000 0.000
12 Ho 0.142 0.142 0.574

formation energy from the elements: -0.09 eV/atom
SG: R-3m



[5]
Material: Pm3Mg2C
Method: DFT, GGA-PBE
State: optimized geometry

a = 5.275 Å, b = 7.124 Å, c = 8.797 Å
α = 90.00°, β = 72.55°, γ = 90.00°
Fractional coordinates of all 12 atoms:
1 Pm 0.106 0.500 0.788
2 Pm 0.894 0.500 0.212
3 Pm 0.894 0.000 0.212
4 Pm 0.106 0.000 0.788
5 Pm 0.500 0.750 0.000
6 Pm 0.500 0.250 0.000
7 Mg 0.298 0.250 0.404
8 Mg 0.702 0.750 0.596
9 Mg 0.703 0.250 0.596
10 Mg 0.297 0.750 0.404
11 C 0.000 0.750 0.000
12 C 0.000 0.250 0.000

formation energy from the elements: -0.09 eV/atom
SG: Cmmm



[6]
Material: AcLa2Sm
Method: DFT, GGA-PBE
State: optimized geometry

a = 5.346 Å, b = 6.526 Å, c = 5.348 Å
α = 65.73°, β = 90.00°, γ = 114.18°
Fractional coordinates of all 4 atoms:
1 La 0.000 0.000 0.000
2 La 0.750 0.500 0.750
3 Ac 0.250 0.500 0.250
4 Sm 0.500 0.000 0.500

formation energy from the elements: 0.03 eV/atom
SG: Cm
energy above the lowest structure with this stoichiometry: 0.05 eV/f.u.